No. 1
# NpSnGe | the Alexandria database | PBE-GGA | optimized geometry
data_NpSnGe
_chemical_formula_sum 'Np4 Sn4 Ge4'
_symmetry_space_group_name_H-M 'C m c m'
_symmetry_Int_Tables_number 63
_symmetry_space_group_name_Hall '-C 2c 2'
_cell_length_a 4.455
_cell_length_b 15.507
_cell_length_c 4.011
_cell_angle_alpha 90.00
_cell_angle_beta 90.00
_cell_angle_gamma 90.00
loop_
_atom_site_label
_atom_site_type_symbol
_atom_site_fract_x
_atom_site_fract_y
_atom_site_fract_z
Np1 Np 0.000 0.086 0.250
Sn1 Sn 0.000 0.257 0.750
Ge1 Ge 0.000 0.440 0.250
# Fermi-level density of states = 7.30 states/eV/f.u.
# energy relative to the elements = -0.13 eV/atom
# total magnetic moment = 15.6 μB/cell

=====

No. 2
# Be2NbAu | the Alexandria database | PBE-GGA | optimized geometry
data_Be2NbAu
_chemical_formula_sum 'Be8 Nb4 Au4'
_symmetry_space_group_name_H-M 'I -4 2 d'
_symmetry_Int_Tables_number 122
_symmetry_space_group_name_Hall 'I -4 2bw'
_cell_length_a 6.449
_cell_length_b 6.449
_cell_length_c 5.525
_cell_angle_alpha 90.00
_cell_angle_beta 90.00
_cell_angle_gamma 90.00
loop_
_atom_site_label
_atom_site_type_symbol
_atom_site_fract_x
_atom_site_fract_y
_atom_site_fract_z
Be1 Be 0.226 0.750 0.125
Nb1 Nb 0.000 0.000 0.500
Au1 Au 0.000 0.000 0.000
# Fermi-level density of states = 1.36 states/eV/f.u.
# energy relative to the elements = 0.30 eV/atom
# total magnetic moment = 0.0 μB/cell

=====

No. 3
# Hf8Sn2H | the Alexandria database | PBE-GGA | optimized geometry
data_Hf8Sn2H
_chemical_formula_sum 'Hf16 Sn4 H2'
_symmetry_space_group_name_H-M 'C 1 2/m 1'
_symmetry_Int_Tables_number 12
_symmetry_space_group_name_Hall '-C 2y'
_cell_length_a 15.277
_cell_length_b 5.170
_cell_length_c 6.069
_cell_angle_alpha 90.00
_cell_angle_beta 110.91
_cell_angle_gamma 90.00
loop_
_atom_site_label
_atom_site_type_symbol
_atom_site_fract_x
_atom_site_fract_y
_atom_site_fract_z
Hf1 Hf 0.002 0.000 0.245
Hf2 Hf 0.108 0.500 0.379
Hf3 Hf 0.111 0.500 0.886
Hf4 Hf 0.195 0.000 0.199
Sn1 Sn 0.188 0.000 0.691
H1 H 0.000 0.500 0.000
# Fermi-level density of states = 8.34 states/eV/f.u.
# total magnetic moment = 0.0 μB/cell
# DFT total energy = -8.3733 eV/atom

=====

No. 4
# Sr2PuAs3 | the Alexandria database | PBE-GGA | optimized geometry
data_Sr2PuAs3
_chemical_formula_sum 'Sr4 Pu2 As6'
_symmetry_space_group_name_H-M 'I m m m'
_symmetry_Int_Tables_number 71
_symmetry_space_group_name_Hall '-I 2 2'
_cell_length_a 4.322
_cell_length_b 6.081
_cell_length_c 13.256
_cell_angle_alpha 90.00
_cell_angle_beta 90.00
_cell_angle_gamma 90.00
loop_
_atom_site_label
_atom_site_type_symbol
_atom_site_fract_x
_atom_site_fract_y
_atom_site_fract_z
Sr1 Sr 0.000 0.000 0.173
Pu1 Pu 0.000 0.000 0.500
As1 As 0.000 0.500 0.142
As2 As 0.000 0.500 0.500
# Fermi-level density of states = 11.51 states/eV/f.u.
# energy relative to the elements = -0.96 eV/atom
# total magnetic moment = 6.7 μB/cell

=====

No. 5
# TlCuHg2Au | the Alexandria database | PBE-GGA | optimized geometry
data_TlCuHg2Au
_chemical_formula_sum 'Tl1 Cu1 Hg2 Au1'
_symmetry_space_group_name_H-M 'P 4/m m m'
_symmetry_Int_Tables_number 123
_symmetry_space_group_name_Hall '-P 4 2'
_cell_length_a 5.119
_cell_length_b 5.119
_cell_length_c 5.024
_cell_angle_alpha 90.00
_cell_angle_beta 90.00
_cell_angle_gamma 90.00
loop_
_atom_site_label
_atom_site_type_symbol
_atom_site_fract_x
_atom_site_fract_y
_atom_site_fract_z
Tl1 Tl 0.000 0.000 0.000
Cu1 Cu 0.500 0.500 0.500
Hg1 Hg 0.000 0.500 0.500
Au1 Au 0.500 0.500 0.000
# Fermi-level density of states = 2.14 states/eV/f.u.
# energy relative to the elements = 0.15 eV/atom
# total magnetic moment = 0.0 μB/cell

=====

No. 6
# Ac4Ga2Cl5 | the Alexandria database | PBE-GGA | optimized geometry
data_Ac4Ga2Cl5
_chemical_formula_sum 'Ac8 Ga4 Cl10'
_symmetry_space_group_name_H-M 'C 1 2/m 1'
_symmetry_Int_Tables_number 12
_symmetry_space_group_name_Hall '-C 2y'
_cell_length_a 25.054
_cell_length_b 4.444
_cell_length_c 8.622
_cell_angle_alpha 90.00
_cell_angle_beta 105.92
_cell_angle_gamma 90.00
loop_
_atom_site_label
_atom_site_type_symbol
_atom_site_fract_x
_atom_site_fract_y
_atom_site_fract_z
Ac1 Ac 0.002 0.000 0.267
Ac2 Ac 0.160 0.500 0.465
Ga1 Ga 0.051 0.500 0.541
Cl1 Cl 0.000 0.500 0.000
Cl2 Cl 0.126 0.000 0.230
Cl3 Cl 0.228 0.000 0.655
# Fermi-level density of states = 2.79 states/eV/f.u.
# total magnetic moment = 0.0 μB/cell
# DFT total energy = -4.3718 eV/atom

=====

No. 7
# LaPm5Y5 | the Alexandria database | PBE-GGA | optimized geometry
data_LaPm5Y5
_chemical_formula_sum 'La1 Pm5 Y5'
_symmetry_space_group_name_H-M 'P -6 m 2'
_symmetry_Int_Tables_number 187
_symmetry_space_group_name_Hall 'P -6 2'
_cell_length_a 6.1669
_cell_length_b 6.1669
_cell_length_c 11.9068
_cell_angle_alpha 90.00
_cell_angle_beta 90.00
_cell_angle_gamma 120.00
loop_
_atom_site_label
_atom_site_type_symbol
_atom_site_fract_x
_atom_site_fract_y
_atom_site_fract_z
La1 La 0.0000 0.0000 0.0000
Pm1 Pm 0.0000 0.0000 0.3217
Pm2 Pm 0.3333 0.6667 0.1557
Pm3 Pm 0.6667 0.3333 0.0000
Y1 Y 0.5003 0.0005 0.5000
Y2 Y 0.6667 0.3333 0.2627
# Fermi-level density of states = 23.74 states/eV/f.u.
# energy relative to the elements = 0.31 eV/atom
# total magnetic moment = 0.0 μB/cell

=====

No. 8
# CePaCo2Si2 | the Alexandria database | PBE-GGA | optimized geometry
data_CePaCo2Si2
_chemical_formula_sum 'Ce1 Pa1 Co2 Si2'
_symmetry_space_group_name_H-M 'P -3 m 1'
_symmetry_Int_Tables_number 164
_symmetry_space_group_name_Hall '-P 3 2"'
_cell_length_a 4.0678
_cell_length_b 4.0678
_cell_length_c 7.4615
_cell_angle_alpha 90.00
_cell_angle_beta 90.00
_cell_angle_gamma 120.00
loop_
_atom_site_label
_atom_site_type_symbol
_atom_site_fract_x
_atom_site_fract_y
_atom_site_fract_z
Ce1 Ce 0.0000 0.0000 0.0000
Pa1 Pa 0.0000 0.0000 0.5000
Co1 Co 0.3333 0.6667 0.7266
Si1 Si 0.3333 0.6667 0.2527
# Fermi-level density of states = 9.72 states/eV/f.u.
# total magnetic moment = 0.0 μB/cell
# DFT total energy = -7.4108 eV/atom